Density functional theory data (PBE) for a relaxed structure of CeDy3Y3Se8.

## Properties
**DOS at the Fermi energy**: 13.41 states/eV/cell
**Total DFT energy (no corrections)**: -0.231 hartree per atom
**Formation energy from raw total energies**: -1.8129 eV per atom

Cell: 8.1587 8.1586 8.1523 Å, 120.03 90.00 120.00°
Closest atoms and distances in Å follow each position.
Fractional positions:
Se1 0.7410 0.4821 0.2418  2 Dy 2.88, 2 Y 2.89, 1 Ce 2.99
Se2 0.7403 0.9993 0.7581  2 Dy 2.88, 2 Y 2.89, 1 Ce 2.99
Se3 0.7496 0.4993 0.7489  3 Dy 2.88, 3 Y 2.89
Se4 0.2590 0.5179 0.7582  2 Dy 2.88, 2 Y 2.89, 1 Ce 2.99
Se5 0.2597 0.0007 0.2419  2 Dy 2.88, 2 Y 2.89, 1 Ce 2.99
Se6 0.2504 0.5007 0.2511  3 Dy 2.88, 3 Y 2.89
Se7 0.7411 0.0007 0.2419  2 Dy 2.88, 2 Y 2.89, 1 Ce 2.99
Se8 0.2589 0.9993 0.7581  2 Dy 2.88, 2 Y 2.89, 1 Ce 2.99
Dy1 0.5000 0.5000 0.5000  6 Se 2.88
Dy2 0.5000 0.0000 0.5000  6 Se 2.88
Dy3 0.0000 0.5000 0.5000  6 Se 2.88
Y1 0.0000 0.5000 0.0000  6 Se 2.89
Y2 0.0000 0.0000 0.0000  6 Se 2.89
Y3 0.5000 0.5000 0.0000  6 Se 2.89
Ce1 0.0000 0.0000 0.5000  6 Se 2.99